Record 1
Entry from Alexandria: crystalline GaBr2F at its relaxed geometry (PBE-GGA).

Values from the calculation:
Total DFT energy (no corrections) in hartree per atom: -0.12382
Fermi-level density of states in states/eV/cell: 0.0
Density in Mg/m³: 3.811
ΔE_f (raw) in eV per atom: -1.308
Excess energy over the best structure of this formula in the dataset in meV/atom: 85

a b c (Å): 5.776 11.073 6.823
angles (deg): 90.00 96.98 90.00
Space group C2 (No. 5)
One atom of each set of equivalent atoms:
Ga: 0.000 0.000 0.000 (multiplicity 2)
Ga: 0.000 0.340 0.000 (multiplicity 2)
Br: 0.196 0.174 0.212 (multiplicity 4)
Br: 0.212 0.487 0.247 (multiplicity 4)
F: 0.212 0.875 0.132 (multiplicity 4)

Record 2
Entry from Alexandria: crystalline Ag2Au at its relaxed geometry (PBE-GGA).

Values from the calculation:
Total DFT energy (no corrections) in hartree per atom: -0.11061
Fermi-level density of states in states/eV/cell: 1.7
Density in Mg/m³: 12.591
Excess energy over the best structure of this formula in the dataset in meV/atom: 20
ΔE_f in meV/atom: -16.6

a b c (Å): 8.0773 8.0773 2.8900
angles (deg): 90.00 90.00 120.00
Space group P-62m (No. 189)
One atom of each set of equivalent atoms:
Ag: 0.0000 0.3056 0.0000 (multiplicity 3)
Ag: 0.0000 0.6376 0.5000 (multiplicity 3)
Au: 0.0000 0.0000 0.5000 (multiplicity 1)
Au: 0.3333 0.6667 0.0000 (multiplicity 2)

Record 3
Entry from Alexandria: crystalline PmY6Tm3 at its relaxed geometry (PBE-GGA).

Values from the calculation:
Total DFT energy (no corrections) in hartree per atom: -0.20391
Fermi-level density of states in states/eV/cell: 56.5
Density in Mg/m³: 6.093
Excess energy over the best structure of this formula in the dataset in meV/atom: 28
ΔE_f in meV/atom: 146.2

a b c (Å): 10.940 18.919 6.242
angles (deg): 90.00 90.00 90.00
Space group Cmc2_1 (No. 36)
One atom of each set of equivalent atoms:
Pm: 0.000 0.207 0.000 (multiplicity 4)
Y: 0.000 0.048 0.743 (multiplicity 4)
Y: 0.000 0.286 0.489 (multiplicity 4)
Y: 0.165 0.456 0.370 (multiplicity 8)
Y: 0.249 0.208 0.697 (multiplicity 8)
Tm: 0.000 0.389 0.917 (multiplicity 4)
Tm: 0.174 0.109 0.288 (multiplicity 8)

Record 4
Entry from Alexandria: crystalline BaScSn3 at its relaxed geometry (PBE-GGA).

Values from the calculation:
Total DFT energy (no corrections) in hartree per atom: -0.11109
Fermi-level density of states in states/eV/cell: 5.8
Density in Mg/m³: 4.186
Excess energy over the best structure of this formula in the dataset in meV/atom: 1359
ΔE_f in meV/atom: 1029.6

a b c (Å): 5.978 5.978 5.978
angles (deg): 90.00 90.00 90.00
Space group Pm-3m (No. 221)
One atom of each set of equivalent atoms:
Ba: 0.000 0.000 0.000 (multiplicity 1)
Sc: 0.500 0.500 0.500 (multiplicity 1)
Sn: 0.000 0.000 0.500 (multiplicity 3)

Record 5
Entry from Alexandria: crystalline CaYPb2 at its relaxed geometry (PBE-GGA).

Values from the calculation:
Total DFT energy (no corrections) in hartree per atom: -0.16401
Fermi-level density of states in states/eV/cell: 2.7
Density in Mg/m³: 7.716
ΔE_f in meV/atom: -492.5

a b c (Å): 3.565 4.475 7.330
angles (deg): 90.00 90.50 90.00
Space group P2/m (No. 10)
One atom of each set of equivalent atoms:
Ca: 0.000 0.000 0.000 (multiplicity 1)
Y: 0.000 0.000 0.500 (multiplicity 1)
Pb: 0.499 0.500 0.258 (multiplicity 2)

Record 6
Entry from Alexandria: crystalline Pm2VGe5 at its relaxed geometry (PBE-GGA).

Values from the calculation:
Total DFT energy (no corrections) in hartree per atom: -0.20634
Fermi-level density of states in states/eV/cell: 10.7
Density in Mg/m³: 6.850
ΔE_f in meV/atom: -401.4

a b c (Å): 6.159 6.159 9.001
angles (deg): 90.00 90.00 90.00
Space group I4mm (No. 107)
One atom of each set of equivalent atoms:
Pm: 0.000 0.500 0.000 (multiplicity 4)
V: 0.000 0.000 0.268 (multiplicity 2)
Ge: 0.000 0.000 0.537 (multiplicity 2)
Ge: 0.215 0.215 0.754 (multiplicity 8)

The highest density belongs to which entry?
Ag2Au